(1)
A PBEsol-optimized structure of Zn2CrCl. Source: Alexandria, functional meta-GGA SCAN.

Structure (extended XYZ):
```
4
Lattice="3.018 0.000 0.000 0.000 3.018 0.000 0.000 0.000 7.494" Properties=species:S:1:pos:R:3 pbc="T T T"
Zn 0.000 0.000 0.000
Zn 1.509 1.509 1.481
Cr 1.509 1.509 5.750
Cl 0.000 0.000 4.261
```

For the formation energy without anion corrections, the calculation gives -0.0961 eV per atom. The calculation puts the offset from the most stable computed form at 0 meV per atom. As for the space-group type: No. 99. As for the density of states at the Fermi level: 0.5285 states/eV/atom.

=====

(2)
A PBEsol-optimized structure of TcW3Au. Source: Alexandria, functional meta-GGA SCAN.

Structure (extended XYZ):
```
5
Lattice="4.704 0.000 0.000 0.000 4.704 0.000 0.000 0.000 4.704" Properties=species:S:1:pos:R:3 pbc="T T T"
Tc 0.000 0.000 0.000
W 0.000 2.352 2.352
W 2.352 0.000 2.352
W 2.352 2.352 0.000
Au 2.352 2.352 2.352
```

As for the formation energy: 2.987 eV per atom. As for the space-group type: No. 221. As for the density of states at the Fermi level: 1.3224 states/eV/atom.